A geometry-optimized Y3MgIn2Au3 structure, computed with PBE-GGA.

abc: 4.0065 13.4520 7.7014
angles: 90.00 90.00 90.00
Closest atoms and distances in Å follow each position.
Space group Amm2 (No. 38)
Unique sites:
Y  0.0000  0.0000  0.0000 x2  5 Au 3.06-3.21, 2 Mg 3.31, 4 In 3.42
Y  0.0000  0.2043  0.6082 x4  5 Au 3.06-3.14, 4 In 3.27-3.38, 2 Mg 3.42
Mg  0.5000  0.0000  0.6578 x2  4 Au 2.73-2.87
In  0.5000  0.1298  0.2790 x4  4 Au 2.86-2.95
Au  0.0000  0.0000  0.4174 x2  2 Mg 2.73, 4 In 2.86
Au  0.5000  0.1620  0.8995 x4  1 Mg 2.87, 2 In 2.95, 6 Y 3.06-3.14

Calculated values
- final energy (eV per atom) = -4.774

---

A geometry-optimized CsLaNiSe3 structure, computed with PBE-GGA.

abc: 11.8202 4.4566 13.1414
angles: 90.00 90.00 90.00
Closest atoms and distances in Å follow each position.
Space group Pnma (No. 62)
Unique sites:
Cs  0.1623  0.2500  0.0111 x4  8 Se 3.55-3.87, 3 Ni 3.76-3.88
La  0.0124  0.2500  0.6604 x4  7 Se 3.00-3.26
Ni  0.2405  0.2500  0.2980 x4  4 Se 2.37-2.44
Se  0.0596  0.7500  0.8075 x4  1 Ni 2.37
Se  0.1151  0.2500  0.4451 x4  1 Ni 2.44
Se  0.2247  0.7500  0.2348 x4  2 Ni 2.39

Calculated values
- offset from the most stable computed form (meV/atom) = 20

---

A geometry-optimized NbNiAu structure, computed with PBE-GGA.

abc: 6.0927 6.0927 6.0927
angles: 90.00 90.00 90.00
Closest atoms and distances in Å follow each position.
Space group F-43m (No. 216)
Unique sites:
Nb  0.0000  0.0000  0.0000 x4  4 Au 2.64, 4 Ni 2.64
Ni  0.2500  0.2500  0.2500 x4  4 Nb 2.64
Au  0.2500  0.2500  0.7500 x4  4 Nb 2.64

Calculated values
- calculated formation energy (eV per atom) = 0.4615
- offset from the most stable computed form (meV/atom) = 311